Entry 1:
# GGA-PBE MgScAl, optimized geometry
data_MgScAl
_cell_length_a 7.064
_cell_length_b 3.299
_cell_length_c 5.848
_cell_angle_alpha 106.42
_cell_angle_beta 94.95
_cell_angle_gamma 103.51
_symmetry_space_group_name_H-M 'P 1'
_symmetry_Int_Tables_number 1
loop_
_symmetry_equiv_pos_as_xyz
'x,y,z'
loop_
_atom_site_label
_atom_site_fract_x
_atom_site_fract_y
_atom_site_fract_z
Sc1 0.077 0.405 0.275
Sc2 0.391 0.921 0.992
Mg1 0.769 0.550 0.874
Mg2 0.700 0.776 0.393
Al1 0.395 0.193 0.533
Al2 0.074 0.133 0.734
# Symmetry: C2/m
# E_form in eV per atom: -0.201


Entry 2:
# GGA-PBE MgInSeO2, optimized geometry
data_MgInSeO2
_cell_length_a 4.049
_cell_length_b 5.793
_cell_length_c 4.049
_cell_angle_alpha 90.00
_cell_angle_beta 90.00
_cell_angle_gamma 90.00
_symmetry_space_group_name_H-M 'P 1'
_symmetry_Int_Tables_number 1
loop_
_symmetry_equiv_pos_as_xyz
'x,y,z'
loop_
_atom_site_label
_atom_site_fract_x
_atom_site_fract_y
_atom_site_fract_z
Mg1 0.500 0.500 0.500
O1 0.000 0.000 0.500
O2 0.500 0.000 0.000
Se1 0.000 0.500 0.000
In1 0.000 0.000 0.000
# Uncorrected formation energy in eV per atom: -0.649
# Symmetry: P4/mmm


Entry 3:
# GGA-PBE Co2AuCl, optimized geometry
data_Co2AuCl
_cell_length_a 2.891
_cell_length_b 2.975
_cell_length_c 7.583
_cell_angle_alpha 89.88
_cell_angle_beta 90.00
_cell_angle_gamma 90.00
_symmetry_space_group_name_H-M 'P 1'
_symmetry_Int_Tables_number 1
loop_
_symmetry_equiv_pos_as_xyz
'x,y,z'
loop_
_atom_site_label
_atom_site_fract_x
_atom_site_fract_y
_atom_site_fract_z
Co1 0.000 0.750 0.040
Co2 0.500 0.249 0.211
Au1 0.000 0.748 0.442
Cl1 0.500 0.753 0.807
# Uncorrected formation energy in eV per atom: 0.190
# Symmetry: Pm


Entry 4:
# GGA-PBE BeMo5, optimized geometry
data_BeMo5
_cell_length_a 5.101
_cell_length_b 5.101
_cell_length_c 6.239
_cell_angle_alpha 71.77
_cell_angle_beta 71.77
_cell_angle_gamma 35.93
_symmetry_space_group_name_H-M 'P 1'
_symmetry_Int_Tables_number 1
loop_
_symmetry_equiv_pos_as_xyz
'x,y,z'
loop_
_atom_site_label
_atom_site_fract_x
_atom_site_fract_y
_atom_site_fract_z
Be1 0.500 0.500 0.500
Mo1 0.161 0.161 0.171
Mo2 0.839 0.839 0.829
Mo3 0.827 0.827 0.337
Mo4 0.500 0.500 0.000
Mo5 0.173 0.173 0.663
# Symmetry: C2/m
# E_form in eV per atom: 0.103


Entry 5:
# GGA-PBE Yb2InGa, optimized geometry
data_Yb2InGa
_cell_length_a 5.251
_cell_length_b 5.251
_cell_length_c 5.251
_cell_angle_alpha 60.00
_cell_angle_beta 60.00
_cell_angle_gamma 60.00
_symmetry_space_group_name_H-M 'P 1'
_symmetry_Int_Tables_number 1
loop_
_symmetry_equiv_pos_as_xyz
'x,y,z'
loop_
_atom_site_label
_atom_site_fract_x
_atom_site_fract_y
_atom_site_fract_z
Yb1 0.250 0.250 0.250
Yb2 0.750 0.750 0.750
Ga1 0.500 0.500 0.500
In1 0.000 0.000 0.000
# Symmetry: Fm-3m
# E_form in eV per atom: -0.525


Entry 6:
# GGA-PBE PrTm5Cd2, optimized geometry
data_PrTm5Cd2
_cell_length_a 3.580
_cell_length_b 8.339
_cell_length_c 8.339
_cell_angle_alpha 76.08
_cell_angle_beta 77.60
_cell_angle_gamma 77.60
_symmetry_space_group_name_H-M 'P 1'
_symmetry_Int_Tables_number 1
loop_
_symmetry_equiv_pos_as_xyz
'x,y,z'
loop_
_atom_site_label
_atom_site_fract_x
_atom_site_fract_y
_atom_site_fract_z
Pr1 0.000 0.000 0.000
Tm1 0.000 0.500 0.500
Tm2 0.634 0.591 0.140
Tm3 0.366 0.409 0.860
Tm4 0.366 0.860 0.409
Tm5 0.634 0.140 0.591
Cd1 0.745 0.755 0.755
Cd2 0.255 0.245 0.245
# Symmetry: Immm
# E_form in eV per atom: -0.081


Entry 7:
# GGA-PBE MnSe, optimized geometry
data_MnSe
_cell_length_a 10.386
_cell_length_b 10.386
_cell_length_c 3.848
_cell_angle_alpha 90.00
_cell_angle_beta 90.00
_cell_angle_gamma 90.00
_symmetry_space_group_name_H-M 'P 1'
_symmetry_Int_Tables_number 1
loop_
_symmetry_equiv_pos_as_xyz
'x,y,z'
loop_
_atom_site_label
_atom_site_fract_x
_atom_site_fract_y
_atom_site_fract_z
Mn1 0.805 0.620 0.500
Mn2 0.195 0.380 0.500
Mn3 0.380 0.805 0.500
Mn4 0.620 0.195 0.500
Mn5 0.881 0.450 0.000
Mn6 0.119 0.550 0.000
Mn7 0.550 0.881 0.000
Mn8 0.450 0.119 0.000
Se1 0.755 0.391 0.500
Se2 0.245 0.609 0.500
Se3 0.609 0.755 0.500
Se4 0.391 0.245 0.500
Se5 0.931 0.686 0.000
Se6 0.069 0.314 0.000
Se7 0.314 0.931 0.000
Se8 0.686 0.069 0.000
# Uncorrected formation energy in eV per atom: -0.215
# Symmetry: P4/m


Entry 8:
# GGA-PBE La2MgIn2Rh5, optimized geometry
data_La2MgIn2Rh5
_cell_length_a 3.638
_cell_length_b 10.496
_cell_length_c 10.496
_cell_angle_alpha 90.00
_cell_angle_beta 90.00
_cell_angle_gamma 90.00
_symmetry_space_group_name_H-M 'P 1'
_symmetry_Int_Tables_number 1
loop_
_symmetry_equiv_pos_as_xyz
'x,y,z'
loop_
_atom_site_label
_atom_site_fract_x
_atom_site_fract_y
_atom_site_fract_z
La1 0.000 0.669 0.169
La2 0.000 0.331 0.831
La3 0.000 0.169 0.331
La4 0.000 0.831 0.669
Mg1 0.000 0.000 0.000
Mg2 0.000 0.500 0.500
In1 0.000 0.130 0.630
In2 0.000 0.870 0.370
In3 0.000 0.630 0.870
In4 0.000 0.370 0.130
Rh1 0.500 0.201 0.043
Rh2 0.500 0.799 0.957
Rh3 0.500 0.043 0.799
Rh4 0.500 0.701 0.457
Rh5 0.500 0.957 0.201
Rh6 0.500 0.299 0.543
Rh7 0.500 0.543 0.701
Rh8 0.500 0.457 0.299
Rh9 0.500 0.500 0.000
Rh10 0.500 0.000 0.500
# Symmetry: P4/mbm
# E_form in eV per atom: -0.414


How do the records compare in density of states at the Fermi level? In the order shown, they have 2.863; 5.529; 4.313; 5.360; 24.305; 10.549; 12.272; 10.761 states/eV per cell.
How do the records compare in magnetic moment? In the order shown, they have 0.0; 0.0; 3.8; 0.0; 0.3; 0.0; 25.2; 0.0 μB per cell.